(1)
A relaxed Dy5ZrSb4 crystal. Source: Alexandria via LeMat-Bulk, functional PBE.

## Properties
Total energy, eV/atom: -5.4535
M_tot, μB/f.u.: 0.000
Space-group type: No. 12

```
Dy5ZrSb4
1.0
-1.373 -0.608 -3.949
6.859 -4.284 -1.725
-5.369 -5.902 5.035
Dy Zr Sb
5 1 4
direct
0.822 0.647 0.644
0.835 0.184 0.669
0.165 0.816 0.331
0.500 0.500 0.000
0.178 0.353 0.356
0.500 0.000 0.000
0.335 0.919 0.670
0.993 0.752 0.987
0.665 0.081 0.330
0.007 0.248 0.013
```

(2)
A relaxed Dy3Zr2Sb3 crystal. Source: Alexandria via LeMat-Bulk, functional PBE.

## Properties
Total energy, eV/atom: -6.2962
M_tot, μB/f.u.: 0.000
Space-group type: No. 193

```
Dy3Zr2Sb3
1.0
6.020 0.000 0.000
0.000 7.624 -4.402
0.000 0.000 8.803
Dy Zr Sb
6 4 6
direct
0.750 0.251 0.000
0.750 0.749 0.749
0.750 0.000 0.251
0.250 0.749 0.000
0.250 0.251 0.251
0.250 0.000 0.749
0.000 0.333 0.667
0.500 0.667 0.333
0.000 0.667 0.333
0.500 0.333 0.667
0.750 0.607 0.000
0.750 0.393 0.393
0.750 0.000 0.607
0.250 0.393 0.000
0.250 0.607 0.607
0.250 0.000 0.393
```

(3)
A relaxed DyZrSb crystal. Source: Alexandria via LeMat-Bulk, functional PBE.

## Properties
Total energy, eV/atom: -6.0160
M_tot, μB/f.u.: 0.003
Space-group type: No. 156

```
DyZrSb
1.0
-1.552 2.930 -1.753
-4.501 -1.607 1.298
2.478 3.091 2.972
Sb Zr Dy
1 1 1
direct
0.217 0.333 0.667
0.136 0.000 0.000
0.646 0.667 0.333
```

The calculation returns the following calculated density values, one per record and in order: 7.46 8.51 7.83 Mg/m³.